# ZnCo2Tc | the Alexandria database | meta-GGA SCAN | single point on PBEsol structure
# * E_tot: -0.760 hartree per atom
# * formation energy: 0.104 eV/atom
data_ZnCo2Tc
_symmetry_space_group_name_H-M 'P 4/m m m'
_symmetry_Int_Tables_number 123
_symmetry_space_group_name_Hall '-P 4 2'
_cell_length_a 2.616
_cell_length_b 2.616
_cell_length_c 6.768
_cell_angle_alpha 90.00
_cell_angle_beta 90.00
_cell_angle_gamma 90.00
loop_
_atom_site_label
_atom_site_type_symbol
_atom_site_fract_x
_atom_site_fract_y
_atom_site_fract_z
Zn1 Zn 0.000 0.000 0.000
Co1 Co 0.500 0.500 0.250
Tc1 Tc 0.000 0.000 0.500

# LiMo2P3O13 | the Alexandria database | meta-GGA SCAN | single point on PBEsol structure
# * E_tot: -0.442 hartree per atom
# * raw formation energy: -44.05 eV/f.u.
data_LiMo2P3O13
_symmetry_space_group_name_H-M 'P -1'
_symmetry_Int_Tables_number 2
_cell_length_a 6.394
_cell_length_b 7.526
_cell_length_c 11.201
_cell_angle_alpha 76.27
_cell_angle_beta 86.22
_cell_angle_gamma 79.38
loop_
_symmetry_equiv_pos_as_xyz
'x,y,z'
'-x,-y,-z'
loop_
_atom_site_label
_atom_site_type_symbol
_atom_site_fract_x
_atom_site_fract_y
_atom_site_fract_z
Li1 Li 0.198 0.065 0.314
Mo1 Mo 0.209 0.701 0.593
Mo2 Mo 0.242 0.697 0.095
P1 P 0.120 0.971 0.813
P2 P 0.258 0.296 0.834
P3 P 0.268 0.432 0.387
O1 O 0.075 0.281 0.929
O2 O 0.110 0.297 0.388
O3 O 0.114 0.957 0.163
O4 O 0.130 0.872 0.708
O5 O 0.207 0.866 0.460
O6 O 0.225 0.604 0.281
O7 O 0.233 0.483 0.745
O8 O 0.244 0.142 0.757
O9 O 0.246 0.854 0.924
O10 O 0.253 0.491 0.509
O11 O 0.309 0.486 0.071
O12 O 0.474 0.236 0.894
O13 O 0.486 0.309 0.374

# Li2TcCl | the Alexandria database | meta-GGA SCAN | single point on PBEsol structure
# * E_tot: -0.438 hartree per atom
# * raw formation energy: 0.12 eV/f.u.
data_Li2TcCl
_symmetry_space_group_name_H-M 'C 1 m 1'
_symmetry_Int_Tables_number 8
_cell_length_a 8.544
_cell_length_b 2.873
_cell_length_c 4.929
_cell_angle_alpha 90.00
_cell_angle_beta 115.00
_cell_angle_gamma 90.00
loop_
_symmetry_equiv_pos_as_xyz
'x,y,z'
'x,-y,z'
'x+1/2,y+1/2,z'
'x+1/2,-y+1/2,z'
loop_
_atom_site_label
_atom_site_type_symbol
_atom_site_fract_x
_atom_site_fract_y
_atom_site_fract_z
Li1 Li 0.000 0.000 0.000
Li2 Li 0.212 0.000 0.791
Tc1 Tc 0.406 0.000 0.416
Cl1 Cl 0.174 0.500 0.399